Ba4AgPb | PBE | relaxed

Unit cell a=10.2039 b=10.2039 c=10.2039 alpha=90.00 beta=90.00 gamma=90.00
Last column: nearest neighbours and their distance in Å.
Space group F-43m (No. 216)
Symmetry-distinct sites (fractional):
1 Ba 0.1243 0.1243 0.1243 [16 per cell]  6 Ba 3.59-3.63
2 Ag 0.0000 0.0000 0.5000 [4 per cell]  12 Ba 4.23, 4 Pb 4.42
3 Pb 0.2500 0.2500 0.7500 [4 per cell]  12 Ba 4.23, 4 Ag 4.42

Results
Size of the total moment, μB per formula unit: 0.00
Total DFT energy (no corrections), eV per atom: -2.0738
Formation enthalpy at 0 K, eV per formula unit: 1.81
Distance to the lowest polymorph of the same formula, meV per atom: 589.7

Sr2As2Pt | PBE | relaxed

Unit cell a=11.7412 b=4.2270 c=11.3216 alpha=90.00 beta=110.27 gamma=90.00
Last column: nearest neighbours and their distance in Å.
Space group C2/m (No. 12)
Symmetry-distinct sites (fractional):
1 Sr 0.0833 0.0000 0.3973 [4 per cell]  6 As 3.20-3.45, 2 Pt 3.24, 1 Sr 3.52
2 Sr 0.1941 0.5000 0.1422 [4 per cell]  7 As 3.24-3.45, 4 Pt 3.34-3.49
3 As 0.0521 0.0000 0.9174 [4 per cell]  2 Pt 2.47, 1 As 2.57
4 As 0.1592 0.5000 0.6417 [4 per cell]  1 Pt 2.49
5 Pt 0.0728 0.5000 0.8137 [4 per cell]  3 As 2.47-2.49

Results
Size of the total moment, μB per formula unit: 0.00
Total DFT energy (no corrections), eV per atom: -4.7612
Formation enthalpy at 0 K, eV per formula unit: -5.10
Distance to the lowest polymorph of the same formula, meV per atom: 0.0

ThCuPtPb | PBE | relaxed

Unit cell a=7.0391 b=7.0391 c=7.0391 alpha=90.00 beta=90.00 gamma=90.00
Last column: nearest neighbours and their distance in Å.
Space group F-43m (No. 216)
Symmetry-distinct sites (fractional):
1 Th 0.0000 0.0000 0.0000 [4 per cell]  4 Cu 3.05, 4 Pt 3.05
2 Cu 0.2500 0.2500 0.2500 [4 per cell]  4 Pb 3.05, 4 Th 3.05
3 Pt 0.2500 0.2500 0.7500 [4 per cell]  4 Pb 3.05, 4 Th 3.05
4 Pb 0.0000 0.0000 0.5000 [4 per cell]  4 Cu 3.05, 4 Pt 3.05

Results
Size of the total moment, μB per formula unit: 0.00
Total DFT energy (no corrections), eV per atom: -5.8090
Formation enthalpy at 0 K, eV per formula unit: -1.97

La5OsRu | PBE | relaxed

Unit cell a=9.3871 b=12.6190 c=7.6015 alpha=90.00 beta=95.51 gamma=90.00
Last column: nearest neighbours and their distance in Å.
Space group C2/c (No. 15)
Symmetry-distinct sites (fractional):
1 La 0.0000 0.1651 0.2500 [4 per cell]  2 Ru 2.82, 1 Os 3.06
2 La 0.1239 0.3996 0.5868 [8 per cell]  2 Os 2.71-3.02
3 La 0.1821 0.1246 0.8222 [8 per cell]  1 Ru 2.77
4 Os 0.0000 0.4075 0.2500 [4 per cell]  4 La 2.71-3.02
5 Ru 0.0000 0.0000 0.0000 [4 per cell]  4 La 2.77-2.82

Results
Size of the total moment, μB per formula unit: 0.00
Total DFT energy (no corrections), eV per atom: -6.5499
Formation enthalpy at 0 K, eV per formula unit: -0.71

TaOs2Ru | PBE | relaxed

Unit cell a=3.8953 b=3.8953 c=7.9671 alpha=90.00 beta=90.00 gamma=90.00
Last column: nearest neighbours and their distance in Å.
Space group I4/mmm (No. 139)
Symmetry-distinct sites (fractional):
1 Ta 0.0000 0.0000 0.0000 [2 per cell]  4 Ru 2.75, 8 Os 2.79
2 Os 0.0000 0.5000 0.2500 [4 per cell]  4 Os 2.75, 4 Ta 2.79, 4 Ru 2.79
3 Ru 0.0000 0.0000 0.5000 [2 per cell]  4 Ta 2.75, 8 Os 2.79

Results
Size of the total moment, μB per formula unit: 0.00
Total DFT energy (no corrections), eV per atom: -10.9997
Formation enthalpy at 0 K, eV per formula unit: -0.41
Distance to the lowest polymorph of the same formula, meV per atom: 57.9

Pu2HfSb2N2 | PBE | relaxed

Unit cell a=4.2312 b=4.2312 c=15.5982 alpha=90.00 beta=90.00 gamma=90.00
Last column: nearest neighbours and their distance in Å.
Space group I4/mmm (No. 139)
Symmetry-distinct sites (fractional):
1 Pu 0.0000 0.0000 0.0988 [4 per cell]  4 N 2.62
2 Hf 0.0000 0.0000 0.5000 [2 per cell]  4 N 2.12
3 Sb 0.0000 0.0000 0.3053 [4 per cell]  1 Hf 3.04, 5 Pu 3.22-3.34
4 N 0.0000 0.5000 0.0000 [4 per cell]  2 Hf 2.12

Results
Size of the total moment, μB per formula unit: 10.11
Total DFT energy (no corrections), eV per atom: -9.9944
E_form (uncorrected), eV/atom: -0.9211

BaAg3Pb | PBE | relaxed

Unit cell a=5.4595 b=5.4595 c=5.4595 alpha=90.00 beta=90.00 gamma=90.00
Last column: nearest neighbours and their distance in Å.
Space group Pm-3m (No. 221)
Symmetry-distinct sites (fractional):
1 Ba 0.0000 0.0000 0.0000 [1 per cell]  12 Ag 3.86
2 Ag 0.0000 0.5000 0.5000 [3 per cell]  2 Pb 2.73
3 Pb 0.5000 0.5000 0.5000 [1 per cell]  6 Ag 2.73

Results
Size of the total moment, μB per formula unit: 0.00
Total DFT energy (no corrections), eV per atom: -2.7655
Formation enthalpy at 0 K, eV per formula unit: 0.36
Distance to the lowest polymorph of the same formula, meV per atom: 255.1

KGaOs | PBE | relaxed

Unit cell a=4.4499 b=4.4614 c=11.8549 alpha=89.93 beta=83.77 gamma=60.09
Last column: nearest neighbours and their distance in Å.
Space group P1 (No. 1)
Symmetry-distinct sites (fractional):
1 K 0.0000 0.0000 0.0000 [1 per cell]  3 Ga 3.42-3.49
2 K 0.1927 0.4085 0.3475 [1 per cell]  1 Os 3.21
3 Ga 0.4233 0.2897 0.8028 [1 per cell]  2 Os 2.51-2.54
4 Ga 0.4791 0.7624 0.5949 [1 per cell]  6 Os 2.56-2.62
5 Os 0.1454 0.4248 0.6199 [1 per cell]  3 Os 2.51-2.64, 4 Ga 2.54-2.62
6 Os 0.7984 0.1069 0.6143 [1 per cell]  4 Ga 2.51-2.61, 3 Os 2.51-2.64

Results
Size of the total moment, μB per formula unit: 0.00
Total DFT energy (no corrections), eV per atom: -4.9081
Formation enthalpy at 0 K, eV per formula unit: 0.63
Distance to the lowest polymorph of the same formula, meV per atom: 8.5

- Look up the size of the total moment of the first one.
  0.00 μB per formula unit

- Which formula does entry 3 have?
  ThCuPtPb